No. 1
# Ta4AlC3 | the Alexandria database | meta-GGA SCAN | single point on PBEsol structure
# - electronic total energy (eV for the cell shown) = -617.0
# - magnetic moment (μB/cell) = 0.00
# - formation energy from the elements (eV/f.u.) = -4.11
data_Ta4AlC3
_chemical_formula_sum 'Ta8 Al2 C6'
_symmetry_space_group_name_H-M 'P 1'
_symmetry_Int_Tables_number 1
_cell_length_a 3.078
_cell_length_b 3.078
_cell_length_c 24.518
_cell_angle_alpha 90.00
_cell_angle_beta 90.00
_cell_angle_gamma 120.00
loop_
_symmetry_equiv_pos_as_xyz
'x,y,z'
loop_
_atom_site_label
_atom_site_type_symbol
_atom_site_fract_x
_atom_site_fract_y
_atom_site_fract_z
_atom_site_occupancy
Ta1 Ta 0.667 0.333 0.159 1
Ta2 Ta 0.333 0.667 0.659 1
Ta3 Ta 0.333 0.667 0.841 1
Ta4 Ta 0.667 0.333 0.341 1
Ta5 Ta 0.333 0.667 0.055 1
Ta6 Ta 0.667 0.333 0.555 1
Ta7 Ta 0.667 0.333 0.945 1
Ta8 Ta 0.333 0.667 0.445 1
Al1 Al 0.667 0.333 0.750 1
Al2 Al 0.333 0.667 0.250 1
C1 C 0.000 0.000 0.110 1
C2 C 0.000 0.000 0.610 1
C3 C 0.000 0.000 0.890 1
C4 C 0.000 0.000 0.500 1
C5 C 0.000 0.000 0.390 1
C6 C 0.000 0.000 0.000 1


No. 2
# AlTc3C | the Alexandria database | meta-GGA SCAN | single point on PBEsol structure
# - electronic total energy (eV for the cell shown) = -123.2
# - magnetic moment (μB/cell) = 0.00
# - formation energy from the elements (eV/f.u.) = -0.18
data_AlTc3C
_chemical_formula_sum 'Al1 Tc3 C1'
_symmetry_space_group_name_H-M 'P 1'
_symmetry_Int_Tables_number 1
_cell_length_a 4.015
_cell_length_b 4.015
_cell_length_c 4.015
_cell_angle_alpha 90.00
_cell_angle_beta 90.00
_cell_angle_gamma 90.00
loop_
_symmetry_equiv_pos_as_xyz
'x,y,z'
loop_
_atom_site_label
_atom_site_type_symbol
_atom_site_fract_x
_atom_site_fract_y
_atom_site_fract_z
_atom_site_occupancy
C1 C 0.000 0.000 0.000 1
Tc1 Tc 0.000 0.500 0.000 1
Tc2 Tc 0.000 0.000 0.500 1
Tc3 Tc 0.500 0.000 0.000 1
Al1 Al 0.500 0.500 0.500 1


No. 3
# Ti2AlC | the Alexandria database | meta-GGA SCAN | single point on PBEsol structure
# - electronic total energy (eV for the cell shown) = -106.1
# - magnetic moment (μB/cell) = 0.00
# - formation energy from the elements (eV/f.u.) = -3.15
data_Ti2AlC
_chemical_formula_sum 'Ti4 Al2 C2'
_symmetry_space_group_name_H-M 'P 1'
_symmetry_Int_Tables_number 1
_cell_length_a 3.039
_cell_length_b 3.039
_cell_length_c 13.631
_cell_angle_alpha 90.00
_cell_angle_beta 90.00
_cell_angle_gamma 120.00
loop_
_symmetry_equiv_pos_as_xyz
'x,y,z'
loop_
_atom_site_label
_atom_site_type_symbol
_atom_site_fract_x
_atom_site_fract_y
_atom_site_fract_z
_atom_site_occupancy
C1 C 0.000 0.000 0.500 1
C2 C 0.000 0.000 0.000 1
Al1 Al 0.333 0.667 0.750 1
Al2 Al 0.667 0.333 0.250 1
Ti1 Ti 0.333 0.667 0.416 1
Ti2 Ti 0.667 0.333 0.916 1
Ti3 Ti 0.667 0.333 0.584 1
Ti4 Ti 0.333 0.667 0.084 1


No. 4
# Ti5Al2C3 | the Alexandria database | meta-GGA SCAN | single point on PBEsol structure
# - electronic total energy (eV for the cell shown) = -134.3
# - magnetic moment (μB/cell) = 0.02
# - formation energy from the elements (eV/f.u.) = -8.36
data_Ti5Al2C3
_chemical_formula_sum 'Ti5 Al2 C3'
_symmetry_space_group_name_H-M 'P 1'
_symmetry_Int_Tables_number 1
_cell_length_a 3.048
_cell_length_b 3.048
_cell_length_c 16.157
_cell_angle_alpha 84.59
_cell_angle_beta 84.59
_cell_angle_gamma 60.00
loop_
_symmetry_equiv_pos_as_xyz
'x,y,z'
loop_
_atom_site_label
_atom_site_type_symbol
_atom_site_fract_x
_atom_site_fract_y
_atom_site_fract_z
_atom_site_occupancy
C1 C 0.860 0.860 0.420 1
C2 C 0.140 0.140 0.580 1
C3 C 0.000 0.000 0.000 1
Al1 Al 0.596 0.596 0.212 1
Al2 Al 0.404 0.404 0.788 1
Ti1 Ti 0.500 0.500 0.500 1
Ti2 Ti 0.785 0.785 0.646 1
Ti3 Ti 0.690 0.690 0.929 1
Ti4 Ti 0.310 0.310 0.071 1
Ti5 Ti 0.215 0.215 0.354 1


Number 1: density of states at the Fermi level 3.760 states/eV/cell. Number 2: density of states at the Fermi level 4.605 states/eV/cell. Number 3: density of states at the Fermi level 2.612 states/eV/cell. Number 4: density of states at the Fermi level 3.176 states/eV/cell.